# 1
# LuCoAgSb (PBE, relaxed)
data_LuCoAgSb
_space_group_name_H-M_alt 'F -4 3 m'
_space_group_IT_number 216
_space_group_name_Hall 'F -4 2 3'
_cell_length_a 6.658
_cell_length_b 6.658
_cell_length_c 6.658
_cell_angle_alpha 90.00
_cell_angle_beta 90.00
_cell_angle_gamma 90.00
loop_
_atom_site_label
_atom_site_fract_x
_atom_site_fract_y
_atom_site_fract_z
Lu1 0.000 0.000 0.000
Co1 0.250 0.250 0.750
Ag1 0.250 0.250 0.250
Sb1 0.000 0.000 0.500
# Energy above the most stable polymorph in this dataset ... 0 meV/atom

=====

# 2
# LuCoAgSb (PBE, relaxed)
data_LuCoAgSb
_space_group_name_H-M_alt 'F -4 3 m'
_space_group_IT_number 216
_space_group_name_Hall 'F -4 2 3'
_cell_length_a 6.718
_cell_length_b 6.718
_cell_length_c 6.718
_cell_angle_alpha 90.00
_cell_angle_beta 90.00
_cell_angle_gamma 90.00
loop_
_atom_site_label
_atom_site_fract_x
_atom_site_fract_y
_atom_site_fract_z
Lu1 0.000 0.000 0.000
Co1 0.000 0.000 0.500
Ag1 0.250 0.250 0.750
Sb1 0.250 0.250 0.250
# Energy above the most stable polymorph in this dataset ... 88 meV/atom

=====

# 3
# MgCoAgS3 (PBE, relaxed)
data_MgCoAgS3
_space_group_name_H-M_alt 'C m c m'
_space_group_IT_number 63
_space_group_name_Hall '-C 2c 2'
_cell_length_a 3.473
_cell_length_b 12.936
_cell_length_c 9.542
_cell_angle_alpha 90.00
_cell_angle_beta 90.00
_cell_angle_gamma 90.00
loop_
_atom_site_label
_atom_site_fract_x
_atom_site_fract_y
_atom_site_fract_z
Mg1 0.000 0.169 0.250
Co1 0.000 0.500 0.000
Ag1 0.000 0.151 0.750
S1 0.000 0.117 0.507
S2 0.000 0.464 0.750
# DFT total energy ... -4.34 eV per atom

=====

# 4
# MgCoAgSb (PBE, relaxed)
data_MgCoAgSb
_space_group_name_H-M_alt 'F -4 3 m'
_space_group_IT_number 216
_space_group_name_Hall 'F -4 2 3'
_cell_length_a 6.499
_cell_length_b 6.499
_cell_length_c 6.499
_cell_angle_alpha 90.00
_cell_angle_beta 90.00
_cell_angle_gamma 90.00
loop_
_atom_site_label
_atom_site_fract_x
_atom_site_fract_y
_atom_site_fract_z
Mg1 0.000 0.000 0.000
Co1 0.250 0.250 0.750
Ag1 0.250 0.250 0.250
Sb1 0.000 0.000 0.500
# Energy above the most stable polymorph in this dataset ... 0 meV/atom

=====

no.,M_tot (μB/cell)
1,0.0
2,1.2
3,0.5
4,1.6